Entry 1:
# LaPr2Pt

A geometry-optimized LaPr2Pt structure (PBE, Alexandria via LeMat-Bulk).

Geometry as extended XYZ:
```
4
Lattice="2.041 1.178 9.524 -2.041 1.178 9.524 0.000 -2.356 9.524" Properties=species:S:1:pos:R:3 pbc="T T T"
La 0.000 0.000 0.000
Pr 0.000 0.000 15.958
Pr 0.000 0.000 22.055
Pt 0.000 0.000 4.708
```

Results
Energy of formation ... -1.82 eV/f.u.
SG ... R3m (160)

***

Entry 2:
# DySc3In2

A geometry-optimized DySc3In2 structure (PBE, Alexandria via LeMat-Bulk).

Geometry as extended XYZ:
```
12
Lattice="7.692 -2.561 0.000 7.692 2.561 0.000 -4.304 0.000 7.589" Properties=species:S:1:pos:R:3 pbc="T T T"
Dy 1.323 0.000 1.218
Dy 9.757 0.000 6.370
Sc -2.160 0.000 5.407
Sc 4.598 0.000 0.047
Sc 4.024 0.000 3.376
Sc 7.057 0.000 4.213
Sc 6.482 0.000 7.542
Sc 13.240 0.000 2.182
In 0.922 0.000 4.506
In 3.914 0.000 6.254
In 7.167 0.000 1.334
In 10.158 0.000 3.083
```

Results
Energy of formation ... -1.46 eV/f.u.
SG ... C2/m (12)

***

Entry 3:
# Ga3SiPd

A geometry-optimized Ga3SiPd structure (PBE, Alexandria via LeMat-Bulk).

Geometry as extended XYZ:
```
5
Lattice="4.740 0.000 0.000 0.000 4.740 0.000 0.000 0.000 4.740" Properties=species:S:1:pos:R:3 pbc="T T T"
Ga 0.000 0.000 2.370
Ga 0.000 2.370 0.000
Ga 2.370 0.000 0.000
Si 0.000 0.000 0.000
Pd 2.370 2.370 2.370
```

Results
SG ... Pm-3m (221)

***

Entry 4:
# TiP2PtS

A geometry-optimized TiP2PtS structure (PBE, Alexandria via LeMat-Bulk).

Geometry as extended XYZ:
```
5
Lattice="4.606 0.000 0.000 0.000 4.606 0.000 0.000 0.000 4.771" Properties=species:S:1:pos:R:3 pbc="T T T"
Ti 0.000 0.000 0.000
P 0.000 2.303 2.386
P 2.303 0.000 2.386
Pt 2.303 2.303 2.386
S 2.303 2.303 0.000
```

Results
SG ... P4/mmm (123)

***

How do the records compare in energy? In the order shown, they have -22.3 -61.1 -17.4 -25.9 eV per cell.